This record from Alexandria describes crystalline SiIrBr2 at its relaxed geometry. The functional is PBE.

```
4
Lattice="6.119 0.000 0.120 5.016 3.505 0.120 -0.162 -0.051 5.191" Properties=species:S:1:pos:R:3 pbc="T T T"
Si 2.649 0.834 1.356
Br 7.355 2.316 4.060
Ir 6.959 2.191 1.453
Br 10.632 3.347 1.517
```

Crystal system: monoclinic
Energy above the most stable polymorph in this dataset: 260 meV/atom
E_form (uncorrected): 0.087 eV/atom
Final energy: -17.3 eV for the cell shown
Space-group type: Cm